# 1
# Pm2AgPt

A relaxed structure of Pm2AgPt (PBE-GGA, Alexandria via LeMat-Bulk).

Energy of formation: -630 meV/atom
Crystal system: trigonal

```
4
Lattice="2.112 1.219 7.230 -2.112 1.219 7.230 0.000 -2.438 7.230" Properties=species:S:1:pos:R:3 pbc="T T T"
Pm 0.000 0.000 0.000
Pm 0.000 0.000 4.089
Ag 0.000 0.000 9.310
Pt 0.000 0.000 12.859
```

# 2
# Pm2AgPt

A relaxed structure of Pm2AgPt (PBE-GGA, Alexandria via LeMat-Bulk).

Energy of formation: -688 meV/atom
Crystal system: tetragonal

```
4
Lattice="3.650 0.000 0.000 0.000 3.650 0.000 0.000 0.000 7.342" Properties=species:S:1:pos:R:3 pbc="T T T"
Pm 0.000 0.000 1.716
Pm 0.000 0.000 5.626
Ag 1.825 1.825 3.671
Pt 1.825 1.825 0.000
```

no.,total magnetization (μB per formula unit),energy (eV per atom)
1,0.0,-5.229
2,0.0,-5.287